1.
Material: Ta3GeTe
Method: DFT, PBEsol
State: optimized geometry

```
5
Lattice="4.9493 0.0000 0.0000 0.0000 4.9493 0.0000 0.0000 0.0000 4.9493" Properties=species:S:1:pos:R:3 pbc="T T T"
Ta 0.0000 0.0000 2.4747
Ta 0.0000 2.4747 0.0000
Ta 2.4747 0.0000 0.0000
Ge 2.4747 2.4747 2.4747
Te 0.0000 0.0000 0.0000
```

Values from the calculation:
E_tot: -7.270 eV per atom
D(E_F): 8.31 states/eV per cell
crystal system: cubic

---

2.
Material: Ta2TiGe2
Method: DFT, PBEsol
State: optimized geometry

```
10
Lattice="6.7153 0.0000 0.0000 0.0000 6.7153 0.0000 0.0000 0.0000 3.5441" Properties=species:S:1:pos:R:3 pbc="T T T"
Ta 1.1293 2.2283 0.0000
Ta 2.2283 5.5860 0.0000
Ta 4.4870 1.1293 0.0000
Ta 5.5860 4.4870 0.0000
Ti 0.0000 0.0000 1.7721
Ti 3.3577 3.3577 1.7721
Ge 0.9004 4.2581 1.7721
Ge 2.4572 0.9004 1.7721
Ge 4.2581 5.8149 1.7721
Ge 5.8149 2.4572 1.7721
```

Values from the calculation:
D(E_F): 2.73 states/eV per cell
formation energy from the elements: -0.487 eV per atom
crystal system: tetragonal

---

3.
Material: Ta2V3Ge
Method: DFT, PBEsol
State: optimized geometry

```
12
Lattice="4.9103 0.0000 0.0000 -2.4551 4.2524 0.0000 0.0000 0.0000 8.3621" Properties=species:S:1:pos:R:3 pbc="T T T"
Ta 0.0000 2.8350 0.5234
Ta 0.0000 2.8350 3.6577
Ta 2.4552 1.4175 4.7044
Ta 2.4552 1.4175 7.8388
V 0.0000 1.4692 6.2716
V -1.1828 3.5178 6.2716
V 1.2724 0.7346 2.0905
V 1.1828 3.5178 6.2716
V 3.6379 0.7346 2.0905
V 2.4551 2.7832 2.0905
Ge 0.0000 0.0000 0.0000
Ge 0.0000 0.0000 4.1811
```

Values from the calculation:
D(E_F): 13.23 states/eV per cell
formation energy from the elements: -0.280 eV per atom
crystal system: hexagonal

---

4.
Material: TaGeW3
Method: DFT, PBEsol
State: optimized geometry

```
5
Lattice="4.5193 0.0000 0.0000 0.0000 4.5193 0.0000 0.0000 0.0000 4.5193" Properties=species:S:1:pos:R:3 pbc="T T T"
Ta 0.0000 0.0000 0.0000
Ge 2.2597 2.2597 2.2597
W 0.0000 2.2597 2.2597
W 2.2597 0.0000 2.2597
W 2.2597 2.2597 0.0000
```

Values from the calculation:
D(E_F): 4.25 states/eV per cell
formation energy from the elements: 1.568 eV per atom
crystal system: cubic

---

5.
Material: YTa2Ge2
Method: DFT, PBEsol
State: optimized geometry

```
5
Lattice="-1.9944 1.9944 5.9581 1.9944 -1.9944 5.9581 1.9944 1.9944 -5.9581" Properties=species:S:1:pos:R:3 pbc="T T T"
Y 0.0000 0.0000 0.0000
Ta 1.9944 0.0000 2.9790
Ta 0.0000 1.9944 2.9790
Ge 0.0000 0.0000 4.7342
Ge 0.0000 0.0000 7.1820
```

Values from the calculation:
D(E_F): 1.62 states/eV per cell
formation energy from the elements: -0.575 eV per atom
crystal system: tetragonal

---

6.
Material: Zr2TaGe2
Method: DFT, PBEsol
State: optimized geometry

```
10
Lattice="6.9260 0.0000 0.0000 0.0000 6.9260 0.0000 0.0000 0.0000 3.7326" Properties=species:S:1:pos:R:3 pbc="T T T"
Zr 1.1985 2.2645 0.0000
Zr 2.2645 5.7275 0.0000
Zr 4.6615 1.1985 0.0000
Zr 5.7275 4.6615 0.0000
Ta 0.0000 0.0000 1.8663
Ta 3.4630 3.4630 1.8663
Ge 0.9022 4.3652 1.8663
Ge 2.5608 0.9022 1.8663
Ge 4.3652 6.0238 1.8663
Ge 6.0238 2.5608 1.8663
```

Values from the calculation:
D(E_F): 4.44 states/eV per cell
formation energy from the elements: -0.790 eV per atom
crystal system: tetragonal

---

7.
Material: Tb5Ge3
Method: DFT, PBEsol
State: optimized geometry

```
16
Lattice="8.4393 0.0000 0.0000 -4.2196 7.3086 0.0000 0.0000 0.0000 6.3443" Properties=species:S:1:pos:R:3 pbc="T T T"
Tb -1.0220 1.7701 1.5861
Tb -3.1977 5.5385 4.7582
Tb 2.0440 0.0000 1.5861
Tb 1.0220 1.7701 4.7582
Tb 0.0000 4.8724 0.0000
Tb 0.0000 4.8724 3.1721
Tb 4.2196 2.4362 0.0000
Tb 4.2196 2.4362 3.1721
Tb 6.3953 0.0000 4.7582
Tb 3.1977 5.5385 1.5861
Ge -1.6636 2.8814 4.7582
Ge -2.5560 4.4272 1.5861
Ge 3.3272 0.0000 4.7582
Ge 1.6636 2.8814 1.5861
Ge 5.1121 0.0000 1.5861
Ge 2.5560 4.4272 4.7582
```

Values from the calculation:
D(E_F): 10.47 states/eV per cell
formation energy from the elements: -0.823 eV per atom
crystal system: hexagonal

---

8.
Material: Tb3Ge4
Method: DFT, PBEsol
State: optimized geometry

```
14
Lattice="2.0079 -5.3009 0.0000 2.0079 5.3009 0.0000 0.0000 0.0000 14.1114" Properties=species:S:1:pos:R:3 pbc="T T T"
Tb 2.0079 4.8720 10.5836
Tb 2.0079 1.8281 8.4256
Tb 2.0079 1.8281 12.7415
Tb 2.0079 -1.8281 1.3699
Tb 2.0079 -1.8281 5.6858
Tb 2.0079 -4.8720 3.5279
Ge 0.0000 0.0000 0.0000
Ge 0.0000 0.0000 7.0557
Ge 2.0079 2.8489 3.5279
Ge 2.0079 1.2360 1.5273
Ge 2.0079 1.2360 5.5284
Ge 2.0079 -1.2360 8.5830
Ge 2.0079 -1.2360 12.5841
Ge 2.0079 -2.8489 10.5836
```

Values from the calculation:
D(E_F): 4.57 states/eV per cell
formation energy from the elements: -0.861 eV per atom
crystal system: orthorhombic

---

9.
Material: TbGe3
Method: DFT, PBEsol
State: optimized geometry

```
8
Lattice="1.9947 -10.3630 0.0000 1.9947 10.3630 0.0000 0.0000 0.0000 3.8725" Properties=species:S:1:pos:R:3 pbc="T T T"
Tb 1.9947 8.6557 2.9044
Tb 1.9947 -8.6557 0.9681
Ge 1.9947 6.4048 0.9681
Ge 1.9947 3.9271 0.9681
Ge 1.9947 0.8135 2.9044
Ge 1.9947 -0.8135 0.9681
Ge 1.9947 -3.9271 2.9044
Ge 1.9947 -6.4048 2.9044
```

Values from the calculation:
D(E_F): 2.58 states/eV per cell
formation energy from the elements: -0.532 eV per atom
crystal system: orthorhombic

---

10.
Material: TbGe5
Method: DFT, PBEsol
State: optimized geometry

```
6
Lattice="-1.9820 3.0289 4.8195 1.9820 -3.0289 4.8195 1.9820 3.0289 -4.8195" Properties=species:S:1:pos:R:3 pbc="T T T"
Tb 0.0000 0.0000 0.0000
Ge 1.9820 1.7531 -1.6127
Ge 1.9820 1.7531 1.6127
Ge 0.0000 3.0289 0.0000
Ge 0.0000 1.2758 3.2068
Ge 0.0000 1.2758 6.4323
```

Values from the calculation:
D(E_F): 2.17 states/eV per cell
formation energy from the elements: -0.289 eV per atom
crystal system: orthorhombic

---

11.
Material: Tb5Ge4
Method: DFT, PBEsol
State: optimized geometry

```
36
Lattice="7.5646 0.0000 0.0000 0.0000 14.5362 0.0000 0.0000 0.0000 7.6629" Properties=species:S:1:pos:R:3 pbc="T T T"
Tb 0.1569 1.4595 1.3702
Tb 0.1569 5.8086 1.3702
Tb 0.9510 8.9774 2.5921
Tb 0.9510 12.8269 2.5921
Tb 1.5784 3.6341 3.8414
Tb 2.2039 10.9022 0.0099
Tb 2.8313 1.7093 6.4236
Tb 2.8313 5.5588 6.4236
Tb 3.6253 8.7277 5.2016
Tb 3.6253 13.0767 5.2016
Tb 3.9392 1.4595 2.4613
Tb 3.9392 5.8086 2.4613
Tb 4.7332 8.9774 1.2394
Tb 4.7332 12.8269 1.2394
Tb 5.3607 3.6341 7.6530
Tb 5.9862 10.9022 3.8215
Tb 6.6136 1.7093 5.0708
Tb 6.6136 5.5588 5.0708
Tb 7.4076 8.7277 6.2927
Tb 7.4076 13.0767 6.2927
Ge 0.5906 3.6341 6.7826
Ge 1.3226 10.9022 4.8777
Ge 1.6283 0.6306 4.0990
Ge 1.6283 6.6375 4.0990
Ge 2.1539 7.8987 0.2676
Ge 2.1539 13.9056 0.2676
Ge 2.4597 3.6341 1.0462
Ge 3.1917 10.9022 2.9511
Ge 4.3729 3.6341 4.7118
Ge 5.1048 10.9022 6.6167
Ge 5.4106 0.6306 7.3953
Ge 5.4106 6.6375 7.3953
Ge 5.9362 7.8987 3.5639
Ge 5.9362 13.9056 3.5639
Ge 6.2420 3.6341 2.7853
Ge 6.9739 10.9022 0.8804
```

Values from the calculation:
D(E_F): 21.01 states/eV per cell
formation energy from the elements: -0.899 eV per atom
crystal system: orthorhombic

---

12.
Material: Tb11Ge10
Method: DFT, PBEsol
State: optimized geometry

```
42
Lattice="-5.3889 5.3889 8.1933 5.3889 -5.3889 8.1933 5.3889 5.3889 -8.1933" Properties=species:S:1:pos:R:3 pbc="T T T"
Tb 5.3889 2.6718 -3.1190
Tb 3.4628 0.0000 1.6863
Tb 7.3150 0.0000 1.6863
Tb 0.0000 0.0000 2.6319
Tb 5.3889 -1.9261 6.5070
Tb 2.6718 5.3889 -3.1190
Tb 2.7171 0.0000 5.0743
Tb 3.4557 3.4557 0.0000
Tb 1.9332 -1.9332 8.1933
Tb 0.0000 3.4628 1.6863
Tb 5.3889 2.6718 3.1190
Tb 0.0000 2.7171 5.0743
Tb 5.3889 1.9261 6.5070
Tb -1.9332 1.9332 8.1933
Tb 1.9332 1.9332 8.1933
Tb 2.6718 5.3889 3.1190
Tb 2.7171 0.0000 11.3123
Tb 0.0000 7.3150 1.6863
Tb 0.0000 0.0000 13.7547
Tb -1.9261 5.3889 6.5070
Tb 1.9261 5.3889 6.5070
Tb 0.0000 2.7171 11.3123
Ge 2.2599 2.2599 -2.9880
Ge 3.1290 -3.1290 5.2053
Ge 1.2866 1.2866 0.0000
Ge 4.1023 -4.1023 8.1933
Ge 5.3889 1.4402 0.0000
Ge 5.3889 0.0000 4.0967
Ge 0.0000 0.0000 6.4146
Ge 2.2599 2.2599 2.9880
Ge 3.1290 -3.1290 11.1813
Ge 1.4402 5.3889 0.0000
Ge 3.9487 0.0000 8.1933
Ge -3.1290 3.1290 5.2053
Ge 3.1290 3.1290 5.2053
Ge 0.0000 0.0000 9.9720
Ge 0.0000 5.3889 4.0967
Ge 0.0000 3.9487 8.1933
Ge -4.1023 4.1023 8.1933
Ge 4.1023 4.1023 8.1933
Ge -3.1290 3.1290 11.1813
Ge 3.1290 3.1290 11.1813
```

Values from the calculation:
D(E_F): 26.42 states/eV per cell
formation energy from the elements: -0.898 eV per atom
crystal system: tetragonal